[1]
Computed, not measured: a relaxed FeSi2Ag crystal at the PBE-GGA level of DFT.

```
4
Lattice="-1.377 2.493 4.216 1.377 -2.493 4.216 1.377 2.493 -4.216" Properties=species:S:1:pos:R:3 pbc="T T T"
Fe 0.000 0.000 0.000
Si 1.377 0.000 1.887
Si 0.000 2.493 2.329
Ag 0.000 0.000 4.216
```

Output
- DOS(E_F) (states/eV/cell) = 2.45
- formation energy (no corrections) (eV/atom) = 0.277
- excess energy over the best structure of this formula in the dataset (meV per atom) = 339
- E (eV per atom) = -5.2631
- calculated volume (Å³ per cell) = 57.9

[2]
Computed, not measured: a relaxed FeSiAg2 crystal at the PBE-GGA level of DFT.

```
4
Lattice="2.838 0.000 0.000 0.000 4.091 0.000 0.000 0.000 5.418" Properties=species:S:1:pos:R:3 pbc="T T T"
Fe 0.000 0.000 0.000
Si 0.000 0.000 2.709
Ag 1.419 2.046 1.340
Ag 1.419 2.046 4.078
```

Output
- DOS(E_F) (states/eV/cell) = 2.86
- formation energy (no corrections) (eV/atom) = 0.370
- E (eV per atom) = -4.5275
- calculated volume (Å³ per cell) = 62.9

[3]
Computed, not measured: a relaxed FeSi2Ag crystal at the PBE-GGA level of DFT.

```
4
Lattice="1.406 0.812 8.072 -1.406 0.812 8.072 0.000 -1.624 8.072" Properties=species:S:1:pos:R:3 pbc="T T T"
Fe 0.000 0.000 0.000
Si 0.000 0.000 6.346
Si 0.000 0.000 17.868
Ag 0.000 0.000 12.107
```

Output
- DOS(E_F) (states/eV/cell) = 2.16
- formation energy (no corrections) (eV/atom) = 0.034
- excess energy over the best structure of this formula in the dataset (meV per atom) = 96
- E (eV per atom) = -5.5061
- calculated volume (Å³ per cell) = 55.3

[4]
Computed, not measured: a relaxed Fe3SiAg crystal at the PBE-GGA level of DFT.

```
5
Lattice="4.662 0.000 0.000 0.000 4.662 0.000 0.000 0.000 4.662" Properties=species:S:1:pos:R:3 pbc="T T T"
Fe 0.000 0.000 2.331
Fe 0.000 2.331 0.000
Fe 2.331 0.000 0.000
Si 2.331 2.331 2.331
Ag 0.000 0.000 0.000
```

Output
- DOS(E_F) (states/eV/cell) = 7.64
- formation energy (no corrections) (eV/atom) = 1.671
- excess energy over the best structure of this formula in the dataset (meV per atom) = 985
- E (eV per atom) = -5.0613
- calculated volume (Å³ per cell) = 101.3

[5]
Computed, not measured: a relaxed Fe2SiAg crystal at the PBE-GGA level of DFT.

```
4
Lattice="-1.859 1.859 3.887 1.859 -1.859 3.887 1.859 1.859 -3.887" Properties=species:S:1:pos:R:3 pbc="T T T"
Fe 1.859 0.000 1.943
Fe 0.000 1.859 1.943
Si 0.000 0.000 0.000
Ag 0.000 0.000 3.887
```

Output
- DOS(E_F) (states/eV/cell) = 2.57
- formation energy (no corrections) (eV/atom) = 0.184
- E (eV per atom) = -6.1159
- calculated volume (Å³ per cell) = 53.7

[6]
Computed, not measured: a relaxed FeSi2Ag crystal at the PBE-GGA level of DFT.

```
4
Lattice="2.650 0.000 0.000 0.000 2.818 0.000 0.000 0.000 7.509" Properties=species:S:1:pos:R:3 pbc="T T T"
Fe 0.000 0.000 0.000
Si 1.325 1.409 1.426
Si 1.325 1.409 6.082
Ag 0.000 1.409 3.754
```

Output
- DOS(E_F) (states/eV/cell) = 2.02
- formation energy (no corrections) (eV/atom) = -0.062
- excess energy over the best structure of this formula in the dataset (meV per atom) = 0
- E (eV per atom) = -5.6020
- calculated volume (Å³ per cell) = 56.1

[7]
Computed, not measured: a relaxed FeSiAg2 crystal at the PBE-GGA level of DFT.

```
4
Lattice="3.904 -1.379 0.000 3.904 1.379 0.000 -0.857 0.000 5.906" Properties=species:S:1:pos:R:3 pbc="T T T"
Fe 0.000 0.000 0.000
Si 1.322 0.000 5.142
Ag 3.515 0.000 3.461
Ag 5.628 0.000 1.663
```

Output
- DOS(E_F) (states/eV/cell) = 2.12
- formation energy (no corrections) (eV/atom) = 0.253
- E (eV per atom) = -4.6444
- calculated volume (Å³ per cell) = 63.6

[8]
Computed, not measured: a relaxed FeSi2Ag crystal at the PBE-GGA level of DFT.

```
4
Lattice="1.447 0.835 7.968 -1.447 0.835 7.968 0.000 -1.671 7.968" Properties=species:S:1:pos:R:3 pbc="T T T"
Fe 0.000 0.000 0.000
Si 0.000 0.000 6.265
Si 0.000 0.000 12.348
Ag 0.000 0.000 18.175
```

Output
- DOS(E_F) (states/eV/cell) = 3.70
- formation energy (no corrections) (eV/atom) = 0.284
- excess energy over the best structure of this formula in the dataset (meV per atom) = 346
- E (eV per atom) = -5.2556
- calculated volume (Å³ per cell) = 57.8

[9]
Computed, not measured: a relaxed FeSi2Ag crystal at the PBE-GGA level of DFT.

```
4
Lattice="0.000 3.019 3.019 3.019 0.000 3.019 3.019 3.019 0.000" Properties=species:S:1:pos:R:3 pbc="T T T"
Fe 0.000 0.000 0.000
Si 1.509 1.509 1.509
Si 4.528 4.528 4.528
Ag 3.019 3.019 3.019
```

Output
- DOS(E_F) (states/eV/cell) = 3.41
- formation energy (no corrections) (eV/atom) = 0.394
- excess energy over the best structure of this formula in the dataset (meV per atom) = 456
- E (eV per atom) = -5.1459
- calculated volume (Å³ per cell) = 55.0

[10]
Computed, not measured: a relaxed FeSiAg2 crystal at the PBE-GGA level of DFT.

```
4
Lattice="4.669 0.000 0.000 0.000 2.786 0.000 -1.543 0.000 4.745" Properties=species:S:1:pos:R:3 pbc="T T T"
Fe 0.000 0.000 0.000
Si 2.335 1.393 0.000
Ag -0.772 1.393 2.373
Ag 1.563 0.000 2.373
```

Output
- DOS(E_F) (states/eV/cell) = 2.69
- formation energy (no corrections) (eV/atom) = 0.293
- E (eV per atom) = -4.6044
- calculated volume (Å³ per cell) = 61.7

[11]
Computed, not measured: a relaxed Fe2SiAg crystal at the PBE-GGA level of DFT.

```
4
Lattice="2.830 0.000 0.000 0.000 2.830 0.000 0.000 0.000 6.716" Properties=species:S:1:pos:R:3 pbc="T T T"
Fe 0.000 0.000 0.000
Fe 1.415 1.415 1.473
Si 0.000 0.000 2.700
Ag 1.415 1.415 4.722
```

Output
- DOS(E_F) (states/eV/cell) = 3.61
- formation energy (no corrections) (eV/atom) = 0.124
- E (eV per atom) = -6.1761
- calculated volume (Å³ per cell) = 53.8

[12]
Computed, not measured: a relaxed FeSiAg3 crystal at the PBE-GGA level of DFT.

```
5
Lattice="4.827 0.000 0.000 0.000 4.827 0.000 0.000 0.000 4.827" Properties=species:S:1:pos:R:3 pbc="T T T"
Fe 0.000 0.000 0.000
Si 2.413 2.413 2.413
Ag 0.000 0.000 2.413
Ag 0.000 2.413 0.000
Ag 2.413 0.000 0.000
```

Output
- DOS(E_F) (states/eV/cell) = 4.25
- formation energy (no corrections) (eV/atom) = 1.197
- excess energy over the best structure of this formula in the dataset (meV per atom) = 336
- E (eV per atom) = -3.2910
- calculated volume (Å³ per cell) = 112.4

[13]
Computed, not measured: a relaxed Fe3SiAg crystal at the PBE-GGA level of DFT.

```
5
Lattice="4.290 0.000 0.000 0.000 4.290 0.000 0.000 0.000 4.290" Properties=species:S:1:pos:R:3 pbc="T T T"
Fe 0.000 0.000 2.145
Fe 0.000 2.145 0.000
Fe 2.145 0.000 0.000
Si 0.000 0.000 0.000
Ag 2.145 2.145 2.145
```

Output
- DOS(E_F) (states/eV/cell) = 10.54
- formation energy (no corrections) (eV/atom) = 0.686
- excess energy over the best structure of this formula in the dataset (meV per atom) = 0
- E (eV per atom) = -6.0467
- calculated volume (Å³ per cell) = 79.0

[14]
Computed, not measured: a relaxed FeSiAg2 crystal at the PBE-GGA level of DFT.

```
4
Lattice="2.660 -4.173 0.000 2.660 4.173 0.000 0.000 0.000 2.820" Properties=species:S:1:pos:R:3 pbc="T T T"
Fe 0.000 0.000 0.000
Si 2.660 0.000 0.000
Ag 1.330 2.087 1.410
Ag 1.330 -2.087 1.410
```

Output
- DOS(E_F) (states/eV/cell) = 2.90
- formation energy (no corrections) (eV/atom) = 0.380
- E (eV per atom) = -4.5167
- calculated volume (Å³ per cell) = 62.6

[15]
Computed, not measured: a relaxed FeSiAg2 crystal at the PBE-GGA level of DFT.

```
4
Lattice="3.851 0.000 0.000 0.000 3.851 0.000 0.000 0.000 4.158" Properties=species:S:1:pos:R:3 pbc="T T T"
Fe 0.000 0.000 0.000
Si 1.926 1.926 0.000
Ag 0.000 1.926 2.079
Ag 1.926 0.000 2.079
```

Output
- DOS(E_F) (states/eV/cell) = 2.49
- formation energy (no corrections) (eV/atom) = 0.312
- E (eV per atom) = -4.5849
- calculated volume (Å³ per cell) = 61.7

[16]
Computed, not measured: a relaxed FeSiAg2 crystal at the PBE-GGA level of DFT.

```
4
Lattice="-1.522 2.283 4.417 1.522 -2.283 4.417 1.522 2.283 -4.417" Properties=species:S:1:pos:R:3 pbc="T T T"
Fe 0.000 0.000 0.000
Si 1.522 0.000 1.731
Ag 0.000 0.000 3.900
Ag 0.000 2.283 1.999
```

Output
- DOS(E_F) (states/eV/cell) = 3.76
- formation energy (no corrections) (eV/atom) = 0.292
- E (eV per atom) = -4.6047
- calculated volume (Å³ per cell) = 61.4

[17]
Computed, not measured: a relaxed FeSi2Ag crystal at the PBE-GGA level of DFT.

```
4
Lattice="0.000 3.088 3.088 3.088 0.000 3.088 3.088 3.088 0.000" Properties=species:S:1:pos:R:3 pbc="T T T"
Fe 0.000 0.000 0.000
Si 3.088 3.088 3.088
Si 4.632 4.632 4.632
Ag 1.544 1.544 1.544
```

Output
- DOS(E_F) (states/eV/cell) = 2.98
- formation energy (no corrections) (eV/atom) = 0.532
- excess energy over the best structure of this formula in the dataset (meV per atom) = 594
- E (eV per atom) = -5.0080
- calculated volume (Å³ per cell) = 58.9

[18]
Computed, not measured: a relaxed FeSi2Ag crystal at the PBE-GGA level of DFT.

```
4
Lattice="-1.833 1.833 3.989 1.833 -1.833 3.989 1.833 1.833 -3.989" Properties=species:S:1:pos:R:3 pbc="T T T"
Fe 0.000 0.000 0.000
Si 1.833 0.000 1.994
Si 0.000 0.000 3.989
Ag 0.000 1.833 1.994
```

Output
- DOS(E_F) (states/eV/cell) = 1.93
- formation energy (no corrections) (eV/atom) = 0.316
- excess energy over the best structure of this formula in the dataset (meV per atom) = 378
- E (eV per atom) = -5.2245
- calculated volume (Å³ per cell) = 53.6

[19]
Computed, not measured: a relaxed FeSi2Ag crystal at the PBE-GGA level of DFT.

```
4
Lattice="2.969 0.000 0.000 0.000 4.270 0.000 -0.011 0.000 4.367" Properties=species:S:1:pos:R:3 pbc="T T T"
Fe 0.000 0.000 0.000
Si 0.001 2.135 0.980
Si 1.486 0.000 1.773
Ag 1.476 2.135 3.200
```

Output
- DOS(E_F) (states/eV/cell) = 2.18
- formation energy (no corrections) (eV/atom) = 0.184
- excess energy over the best structure of this formula in the dataset (meV per atom) = 246
- E (eV per atom) = -5.3560
- calculated volume (Å³ per cell) = 55.4

[20]
Computed, not measured: a relaxed FeSiAg2 crystal at the PBE-GGA level of DFT.

```
4
Lattice="2.913 0.000 0.000 0.000 4.505 0.000 0.000 0.000 4.709" Properties=species:S:1:pos:R:3 pbc="T T T"
Fe 0.000 0.000 0.000
Si 1.456 2.253 0.000
Ag 0.000 2.253 2.354
Ag 1.456 0.000 2.354
```

Output
- DOS(E_F) (states/eV/cell) = 2.89
- formation energy (no corrections) (eV/atom) = 0.320
- E (eV per atom) = -4.5769
- calculated volume (Å³ per cell) = 61.8

[21]
Computed, not measured: a relaxed FeSiAg3 crystal at the PBE-GGA level of DFT.

```
5
Lattice="4.725 0.000 0.000 0.000 4.725 0.000 0.000 0.000 4.725" Properties=species:S:1:pos:R:3 pbc="T T T"
Fe 0.000 0.000 0.000
Si 2.363 2.363 2.363
Ag 0.000 2.363 2.363
Ag 2.363 0.000 2.363
Ag 2.363 2.363 0.000
```

Output
- DOS(E_F) (states/eV/cell) = 3.18
- formation energy (no corrections) (eV/atom) = 0.860
- excess energy over the best structure of this formula in the dataset (meV per atom) = 0
- E (eV per atom) = -3.6274
- calculated volume (Å³ per cell) = 105.5

[22]
Computed, not measured: a relaxed Fe2SiAg crystal at the PBE-GGA level of DFT.

```
4
Lattice="2.599 -3.851 0.000 2.599 3.851 0.000 0.000 0.000 2.670" Properties=species:S:1:pos:R:3 pbc="T T T"
Fe 1.299 1.925 0.000
Fe 1.299 -1.925 0.000
Si 0.000 0.000 1.335
Ag 2.599 0.000 1.335
```

Output
- DOS(E_F) (states/eV/cell) = 2.39
- formation energy (no corrections) (eV/atom) = 0.188
- E (eV per atom) = -6.1120
- calculated volume (Å³ per cell) = 53.4

[23]
Computed, not measured: a relaxed FeSi2Ag crystal at the PBE-GGA level of DFT.

```
8
Lattice="-1.982 1.982 7.856 1.982 -1.982 7.856 1.982 1.982 -7.856" Properties=species:S:1:pos:R:3 pbc="T T T"
Fe 0.000 0.000 0.000
Fe 0.000 1.982 3.928
Si 2.973 0.747 -1.964
Si 0.747 0.991 1.964
Si -0.991 1.235 5.892
Si 1.235 0.991 9.819
Ag 1.982 0.000 3.928
Ag 0.000 0.000 7.856
```

Output
- DOS(E_F) (states/eV/cell) = 9.00
- formation energy (no corrections) (eV/atom) = 0.356
- excess energy over the best structure of this formula in the dataset (meV per atom) = 418
- E (eV per atom) = -5.1843
- calculated volume (Å³ per cell) = 123.4

[24]
Computed, not measured: a relaxed FeSi2Ag crystal at the PBE-GGA level of DFT.

```
4
Lattice="2.798 -4.222 0.000 2.798 4.222 0.000 -1.255 0.000 2.475" Properties=species:S:1:pos:R:3 pbc="T T T"
Fe 0.000 0.000 0.000
Si 1.399 2.111 0.000
Si 1.399 -2.111 0.000
Ag 2.798 0.000 0.000
```

Output
- DOS(E_F) (states/eV/cell) = 2.53
- formation energy (no corrections) (eV/atom) = 0.366
- excess energy over the best structure of this formula in the dataset (meV per atom) = 428
- E (eV per atom) = -5.1738
- calculated volume (Å³ per cell) = 58.5

[25]
Computed, not measured: a relaxed FeSi2Ag crystal at the PBE-GGA level of DFT.

```
4
Lattice="2.705 0.000 0.000 0.000 2.705 0.000 0.000 0.000 7.827" Properties=species:S:1:pos:R:3 pbc="T T T"
Fe 0.000 0.000 0.000
Si 0.000 0.000 3.477
Si 1.353 1.353 1.556
Ag 1.353 1.353 5.731
```

Output
- DOS(E_F) (states/eV/cell) = 3.19
- formation energy (no corrections) (eV/atom) = 0.301
- excess energy over the best structure of this formula in the dataset (meV per atom) = 363
- E (eV per atom) = -5.2391
- calculated volume (Å³ per cell) = 57.3

[26]
Computed, not measured: a relaxed FeSi2Ag crystal at the PBE-GGA level of DFT.

```
4
Lattice="-1.925 1.925 3.806 1.925 -1.925 3.806 1.925 1.925 -3.806" Properties=species:S:1:pos:R:3 pbc="T T T"
Fe 0.000 0.000 0.000
Si 1.925 0.000 1.903
Si 0.000 1.925 1.903
Ag 0.000 0.000 3.806
```

Output
- DOS(E_F) (states/eV/cell) = 3.10
- formation energy (no corrections) (eV/atom) = 0.319
- excess energy over the best structure of this formula in the dataset (meV per atom) = 381
- E (eV per atom) = -5.2205
- calculated volume (Å³ per cell) = 56.4

[27]
Computed, not measured: a relaxed FeSiAg2 crystal at the PBE-GGA level of DFT.

```
4
Lattice="3.388 0.000 0.000 0.000 3.388 0.000 0.000 0.000 5.553" Properties=species:S:1:pos:R:3 pbc="T T T"
Fe 0.000 0.000 0.000
Si 0.000 0.000 2.777
Ag 1.694 1.694 1.375
Ag 1.694 1.694 4.178
```

Output
- DOS(E_F) (states/eV/cell) = 3.37
- formation energy (no corrections) (eV/atom) = 0.431
- E (eV per atom) = -4.4656
- calculated volume (Å³ per cell) = 63.7

[28]
Computed, not measured: a relaxed Fe2SiAg crystal at the PBE-GGA level of DFT.

```
4
Lattice="1.344 0.776 8.514 -1.344 0.776 8.514 0.000 -1.552 8.514" Properties=species:S:1:pos:R:3 pbc="T T T"
Fe 0.000 0.000 6.171
Fe 0.000 0.000 19.371
Si 0.000 0.000 12.771
Ag 0.000 0.000 0.000
```

Output
- DOS(E_F) (states/eV/cell) = 2.62
- formation energy (no corrections) (eV/atom) = 0.152
- E (eV per atom) = -6.1475
- calculated volume (Å³ per cell) = 53.3

[29]
Computed, not measured: a relaxed FeSi2Ag crystal at the PBE-GGA level of DFT.

```
4
Lattice="3.820 -1.433 0.000 3.820 1.433 0.000 -0.904 0.000 5.170" Properties=species:S:1:pos:R:3 pbc="T T T"
Fe 0.000 0.000 0.000
Si 1.305 0.000 4.208
Si 5.431 0.000 0.962
Ag 3.368 0.000 2.585
```

Output
- DOS(E_F) (states/eV/cell) = 1.76
- formation energy (no corrections) (eV/atom) = 0.074
- excess energy over the best structure of this formula in the dataset (meV per atom) = 136
- E (eV per atom) = -5.4664
- calculated volume (Å³ per cell) = 56.6

[30]
Computed, not measured: a relaxed FeSi2Ag crystal at the PBE-GGA level of DFT.

```
4
Lattice="4.029 0.000 0.000 0.000 4.029 0.000 0.000 0.000 3.429" Properties=species:S:1:pos:R:3 pbc="T T T"
Fe 0.000 0.000 0.000
Si 0.000 2.014 1.715
Si 2.014 0.000 1.715
Ag 2.014 2.014 0.000
```

Output
- DOS(E_F) (states/eV/cell) = 3.08
- formation energy (no corrections) (eV/atom) = 0.345
- excess energy over the best structure of this formula in the dataset (meV per atom) = 407
- E (eV per atom) = -5.1949
- calculated volume (Å³ per cell) = 55.7